Na2CrSeO6 after structural relaxation. Source: Alexandria, functional PBE with a Hubbard U.

It has space group P4mm (No. 99), with a = 5.250 Å, b = 5.250 Å, c = 4.754 Å, α = 90.00°, β = 90.00° and γ = 90.00°. Symmetry generates all atoms from Na at (0.000, 0.500, 0.000), Cr at (0.000, 0.000, 0.552), Se at (0.500, 0.500, 0.573), O at (0.000, 0.000, 0.207), O at (0.235, 0.235, 0.662) and O at (0.500, 0.500, 0.220).

The total energy comes out at -54.7 eV/cell.